# La3Nd3Zn2Hg (PBE-GGA, optimized geometry)
# - DOS at the Fermi energy (states/eV per cell) = 12.99
# - total magnetic moment (μB per atom) = 0.00
data_La3Nd3Zn2Hg
_chemical_formula_sum 'La3 Nd3 Zn2 Hg1'
_cell_length_a 8.9865
_cell_length_b 8.9865
_cell_length_c 3.8281
_cell_angle_alpha 90.00
_cell_angle_beta 90.00
_cell_angle_gamma 120.00
_symmetry_space_group_name_H-M 'P -6 2 m'
_symmetry_Int_Tables_number 189
_symmetry_space_group_name_Hall 'P -6 -2'
loop_
_atom_site_label
_atom_site_type_symbol
_atom_site_fract_x
_atom_site_fract_y
_atom_site_fract_z
La1 La 0.0000 0.7141 0.0000
Nd1 Nd 0.0000 0.3910 0.5000
Zn1 Zn 0.3333 0.6667 0.0000
Hg1 Hg 0.0000 0.0000 0.5000

# LaNdZnHg (PBE-GGA, optimized geometry)
# - energy above the lowest structure with this stoichiometry (eV per atom) = 0.024
# - DOS at the Fermi energy (states/eV per cell) = 17.88
# - total magnetic moment (μB per atom) = 0.18
data_LaNdZnHg
_chemical_formula_sum 'La4 Nd4 Zn4 Hg4'
_cell_length_a 7.6225
_cell_length_b 7.6225
_cell_length_c 7.6225
_cell_angle_alpha 90.00
_cell_angle_beta 90.00
_cell_angle_gamma 90.00
_symmetry_space_group_name_H-M 'F -4 3 m'
_symmetry_Int_Tables_number 216
_symmetry_space_group_name_Hall 'F -4 2 3'
loop_
_atom_site_label
_atom_site_type_symbol
_atom_site_fract_x
_atom_site_fract_y
_atom_site_fract_z
La1 La 0.0000 0.0000 0.0000
Nd1 Nd 0.0000 0.0000 0.5000
Zn1 Zn 0.2500 0.2500 0.7500
Hg1 Hg 0.2500 0.2500 0.2500

# LaNdZnHg (PBE-GGA, optimized geometry)
# - energy above the lowest structure with this stoichiometry (eV per atom) = 0.000
# - DOS at the Fermi energy (states/eV per cell) = 3.92
# - total magnetic moment (μB per atom) = 0.00
data_LaNdZnHg
_chemical_formula_sum 'La1 Nd1 Zn1 Hg1'
_cell_length_a 3.7876
_cell_length_b 3.7876
_cell_length_c 7.6281
_cell_angle_alpha 90.00
_cell_angle_beta 90.00
_cell_angle_gamma 90.00
_symmetry_space_group_name_H-M 'P 4 m m'
_symmetry_Int_Tables_number 99
_symmetry_space_group_name_Hall 'P 4 -2'
loop_
_atom_site_label
_atom_site_type_symbol
_atom_site_fract_x
_atom_site_fract_y
_atom_site_fract_z
La1 La 0.0000 0.0000 0.0000
Nd1 Nd 0.0000 0.0000 0.4643
Zn1 Zn 0.5000 0.5000 0.2408
Hg1 Hg 0.5000 0.5000 0.7236

# La12Ni5Hg (PBE-GGA, optimized geometry)
# - DOS at the Fermi energy (states/eV per cell) = 32.14
# - total magnetic moment (μB per atom) = 0.00
data_La12Ni5Hg
_chemical_formula_sum 'La24 Ni10 Hg2'
_cell_length_a 9.7319
_cell_length_b 10.1646
_cell_length_c 10.4521
_cell_angle_alpha 90.00
_cell_angle_beta 90.00
_cell_angle_gamma 90.00
_symmetry_space_group_name_H-M 'I m m m'
_symmetry_Int_Tables_number 71
_symmetry_space_group_name_Hall '-I 2 2'
loop_
_atom_site_label
_atom_site_type_symbol
_atom_site_fract_x
_atom_site_fract_y
_atom_site_fract_z
La1 La 0.0000 0.1879 0.2032
La2 La 0.1924 0.5000 0.1727
La3 La 0.1978 0.3242 0.5000
Ni1 Ni 0.0000 0.0000 0.0000
Ni2 Ni 0.0000 0.3655 0.0000
Ni3 Ni 0.0000 0.5000 0.3720
Hg1 Hg 0.0000 0.0000 0.5000

# La3NiHg (PBE-GGA, optimized geometry)
# - energy above the lowest structure with this stoichiometry (eV per atom) = 0.156
# - DOS at the Fermi energy (states/eV per cell) = 9.65
# - total magnetic moment (μB per atom) = 0.00
data_La3NiHg
_chemical_formula_sum 'La3 Ni1 Hg1'
_cell_length_a 5.4326
_cell_length_b 5.4326
_cell_length_c 5.4326
_cell_angle_alpha 90.00
_cell_angle_beta 90.00
_cell_angle_gamma 90.00
_symmetry_space_group_name_H-M 'P m -3 m'
_symmetry_Int_Tables_number 221
_symmetry_space_group_name_Hall '-P 4 2 3'
loop_
_atom_site_label
_atom_site_type_symbol
_atom_site_fract_x
_atom_site_fract_y
_atom_site_fract_z
La1 La 0.0000 0.0000 0.5000
Ni1 Ni 0.0000 0.0000 0.0000
Hg1 Hg 0.5000 0.5000 0.5000

# La2NiHg (PBE-GGA, optimized geometry)
# - DOS at the Fermi energy (states/eV per cell) = 1.67
# - total magnetic moment (μB per atom) = 0.00
data_La2NiHg
_chemical_formula_sum 'La8 Ni4 Hg4'
_cell_length_a 7.1655
_cell_length_b 7.1655
_cell_length_c 7.1655
_cell_angle_alpha 90.00
_cell_angle_beta 90.00
_cell_angle_gamma 90.00
_symmetry_space_group_name_H-M 'F -4 3 m'
_symmetry_Int_Tables_number 216
_symmetry_space_group_name_Hall 'F -4 2 3'
loop_
_atom_site_label
_atom_site_type_symbol
_atom_site_fract_x
_atom_site_fract_y
_atom_site_fract_z
La1 La 0.0000 0.0000 0.0000
La2 La 0.2500 0.2500 0.2500
Ni1 Ni 0.2500 0.2500 0.7500
Hg1 Hg 0.0000 0.0000 0.5000

# LaNi2Hg2 (PBE-GGA, optimized geometry)
# - energy above the lowest structure with this stoichiometry (eV per atom) = 0.108
# - DOS at the Fermi energy (states/eV per cell) = 10.81
# - total magnetic moment (μB per atom) = 0.00
data_LaNi2Hg2
_chemical_formula_sum 'La2 Ni4 Hg4'
_cell_length_a 4.7314
_cell_length_b 4.7314
_cell_length_c 9.5740
_cell_angle_alpha 90.00
_cell_angle_beta 90.00
_cell_angle_gamma 90.00
_symmetry_space_group_name_H-M 'I 4/m m m'
_symmetry_Int_Tables_number 139
_symmetry_space_group_name_Hall '-I 4 2'
loop_
_atom_site_label
_atom_site_type_symbol
_atom_site_fract_x
_atom_site_fract_y
_atom_site_fract_z
La1 La 0.0000 0.0000 0.0000
Ni1 Ni 0.0000 0.5000 0.2500
Hg1 Hg 0.0000 0.0000 0.3548

# La11Ni4Hg9 (PBE-GGA, optimized geometry)
# - DOS at the Fermi energy (states/eV per cell) = 43.58
# - total magnetic moment (μB per atom) = 0.00
data_La11Ni4Hg9
_chemical_formula_sum 'La22 Ni8 Hg18'
_cell_length_a 14.9993
_cell_length_b 22.4944
_cell_length_c 3.8051
_cell_angle_alpha 90.00
_cell_angle_beta 90.00
_cell_angle_gamma 90.00
_symmetry_space_group_name_H-M 'C m m m'
_symmetry_Int_Tables_number 65
_symmetry_space_group_name_Hall '-C 2 2'
loop_
_atom_site_label
_atom_site_type_symbol
_atom_site_fract_x
_atom_site_fract_y
_atom_site_fract_z
La1 La 0.0000 0.0000 0.0000
La2 La 0.0000 0.1667 0.0000
La3 La 0.0000 0.3745 0.0000
La4 La 0.1904 0.5000 0.0000
La5 La 0.2477 0.1683 0.0000
Ni1 Ni 0.1512 0.3992 0.5000
Hg1 Hg 0.0000 0.5000 0.5000
Hg2 Hg 0.1044 0.2653 0.5000
Hg3 Hg 0.1468 0.0713 0.5000

# La5Ni2Hg2 (PBE-GGA, optimized geometry)
# - DOS at the Fermi energy (states/eV per cell) = 32.92
# - total magnetic moment (μB per atom) = 0.00
data_La5Ni2Hg2
_chemical_formula_sum 'La20 Ni8 Hg8'
_cell_length_a 16.2102
_cell_length_b 7.1149
_cell_length_c 8.8830
_cell_angle_alpha 90.00
_cell_angle_beta 90.00
_cell_angle_gamma 90.00
_symmetry_space_group_name_H-M 'C m c e'
_symmetry_Int_Tables_number 64
_symmetry_space_group_name_Hall '-C 2ac 2'
loop_
_atom_site_label
_atom_site_type_symbol
_atom_site_fract_x
_atom_site_fract_y
_atom_site_fract_z
La1 La 0.0000 0.0000 0.0000
La2 La 0.1210 0.1467 0.3213
Ni1 Ni 0.0000 0.1305 0.6028
Hg1 Hg 0.2114 0.0000 0.0000

# LaNiHg2 (PBE-GGA, optimized geometry)
# - DOS at the Fermi energy (states/eV per cell) = 3.89
# - total magnetic moment (μB per atom) = 0.00
data_LaNiHg2
_chemical_formula_sum 'La2 Ni2 Hg4'
_cell_length_a 3.9029
_cell_length_b 4.0547
_cell_length_c 12.1151
_cell_angle_alpha 90.00
_cell_angle_beta 90.00
_cell_angle_gamma 90.00
_symmetry_space_group_name_H-M 'A m m 2'
_symmetry_Int_Tables_number 38
_symmetry_space_group_name_Hall 'A 2 -2'
loop_
_atom_site_label
_atom_site_type_symbol
_atom_site_fract_x
_atom_site_fract_y
_atom_site_fract_z
La1 La 0.0000 0.0000 0.0000
Ni1 Ni 0.5000 0.0000 0.4414
Hg1 Hg 0.0000 0.0000 0.2836
Hg2 Hg 0.5000 0.0000 0.6673

# LaNiHg2 (PBE-GGA, optimized geometry)
# - DOS at the Fermi energy (states/eV per cell) = 2.96
# - total magnetic moment (μB per atom) = 0.02
data_LaNiHg2
_chemical_formula_sum 'La1 Ni1 Hg2'
_cell_length_a 3.4511
_cell_length_b 3.4511
_cell_length_c 7.3980
_cell_angle_alpha 90.00
_cell_angle_beta 90.00
_cell_angle_gamma 90.00
_symmetry_space_group_name_H-M 'P 4/m m m'
_symmetry_Int_Tables_number 123
_symmetry_space_group_name_Hall '-P 4 2'
loop_
_atom_site_label
_atom_site_type_symbol
_atom_site_fract_x
_atom_site_fract_y
_atom_site_fract_z
La1 La 0.0000 0.0000 0.0000
Ni1 Ni 0.0000 0.0000 0.5000
Hg1 Hg 0.5000 0.5000 0.3048

# La2NiHg (PBE-GGA, optimized geometry)
# - DOS at the Fermi energy (states/eV per cell) = 7.89
# - total magnetic moment (μB per atom) = 0.00
data_La2NiHg
_chemical_formula_sum 'La6 Ni3 Hg3'
_cell_length_a 4.0547
_cell_length_b 4.0547
_cell_length_c 24.4805
_cell_angle_alpha 90.00
_cell_angle_beta 90.00
_cell_angle_gamma 120.00
_symmetry_space_group_name_H-M 'R -3 m'
_symmetry_Int_Tables_number 166
_symmetry_space_group_name_Hall '-R 3 2"'
loop_
_atom_site_label
_atom_site_type_symbol
_atom_site_fract_x
_atom_site_fract_y
_atom_site_fract_z
La1 La 0.0000 0.0000 0.2339
Ni1 Ni 0.0000 0.0000 0.5000
Hg1 Hg 0.0000 0.0000 0.0000

Number 1: ΔH_f (0 K) -1.6 eV per formula unit. Number 2: ΔH_f (0 K) -1.5 eV per formula unit. Number 3: ΔH_f (0 K) -1.6 eV per formula unit. Number 4: ΔH_f (0 K) -4.8 eV per formula unit. Number 5: ΔH_f (0 K) -0.8 eV per formula unit. Number 6: ΔH_f (0 K) -0.8 eV per formula unit. Number 7: ΔH_f (0 K) -0.4 eV per formula unit. Number 8: ΔH_f (0 K) -11.5 eV per formula unit. Number 9: ΔH_f (0 K) -3.1 eV per formula unit. Number 10: ΔH_f (0 K) -1.0 eV per formula unit. Number 11: ΔH_f (0 K) -0.5 eV per formula unit. Number 12: ΔH_f (0 K) -1.4 eV per formula unit.